No. 1
Entry from Alexandria via LeMat-Bulk: an optimized crystal structure of CuBi2F8 (GGA-PBE).

## Properties
Formation energy (no corrections) in eV per atom: -2.09
Raw total energy in eV/cell: -49.82
Space-group type: C2/m (12)

Cell: 4.684 6.251 6.251 Å, 111.62 103.47 103.47°
Each line ends with the local moment (μB).
Positions (direct):
F 0.350 0.632 0.914  0.00
Bi 0.500 0.696 0.304  0.00
Bi 0.500 0.304 0.696  0.00
Cu 0.000 0.000 0.000  0.65
F 0.350 0.914 0.632  0.00
F 0.650 0.086 0.368  0.00
F 0.000 0.814 0.186  0.06
F 0.205 0.307 0.307  0.06
F 0.795 0.693 0.693  0.06
F 0.650 0.368 0.086  0.00
F 0.000 0.186 0.814  0.06

---

No. 2
Entry from Alexandria via LeMat-Bulk: an optimized crystal structure of CuBi2F2 (GGA-PBE).

## Properties
D(E_F) in states/eV/atom: 0.2516
Energy above the lowest structure with this stoichiometry in meV per atom: 0.0
Formation energy (no corrections) in eV per atom: -0.77
Raw total energy in eV/cell: -38.95
Space-group type: P4/mbm (127)

Cell: 7.765 7.765 3.020 Å, 90.00 90.00 90.00°
Positions (direct):
F 0.616 0.116 0.000
Bi 0.200 0.700 0.500
F 0.116 0.384 0.000
Cu 0.000 0.000 0.000
F 0.884 0.616 0.000
Bi 0.300 0.200 0.500
F 0.384 0.884 0.000
Bi 0.700 0.800 0.500
Bi 0.800 0.300 0.500
Cu 0.500 0.500 0.000

---

No. 3
Entry from Alexandria via LeMat-Bulk: an optimized crystal structure of CuBi2F2 (GGA-PBE).

## Properties
D(E_F) in states/eV/atom: 0.6028
Energy above the lowest structure with this stoichiometry in meV per atom: 83.3
Formation energy (no corrections) in eV per atom: -0.69
Raw total energy in eV/cell: -19.06
Space-group type: I4/mmm (139)

Cell: 5.119 5.119 5.109 Å, 59.94 59.94 90.00°
Positions (direct):
Bi 0.750 0.250 0.500
F 0.674 0.674 0.653
F 0.326 0.326 0.347
Bi 0.250 0.750 0.500
Cu 0.000 0.000 0.000

---

No. 4
Entry from Alexandria via LeMat-Bulk: an optimized crystal structure of CuBiF4 (GGA-PBE).

## Properties
Formation energy (no corrections) in eV per atom: -1.91
Raw total energy in eV/cell: -53.84
Space-group type: I4_1md (109)

Cell: 6.423 6.423 6.423 Å, 106.08 106.08 116.48°
Each line ends with the local moment (μB).
Positions (direct):
F 0.768 0.967 0.801  0.00
F 0.290 0.530 0.240  0.00
Bi 0.709 0.709 0.000  0.00
F 0.801 0.540 0.260  0.00
Cu 0.026 0.526 0.500  0.05
Bi 0.459 0.959 0.500  0.00
F 0.290 0.051 0.760  0.00
Cu 0.276 0.276 0.000  0.05
F 0.166 0.967 0.199  0.00
F 0.717 0.018 0.301  0.00
F 0.717 0.416 0.699  0.00
F 0.280 0.540 0.740  0.00

---

No. 5
Entry from Alexandria via LeMat-Bulk: an optimized crystal structure of CuBi2F (GGA-PBE).

## Properties
D(E_F) in states/eV/atom: 0.0770
Energy above the lowest structure with this stoichiometry in meV per atom: 0.0
Formation energy (no corrections) in eV per atom: -0.51
Raw total energy in eV/cell: -15.79
Space-group type: Fm-3m (225)

Cell: 4.791 4.791 4.791 Å, 60.00 60.00 60.00°
Positions (direct):
Bi 0.250 0.250 0.250
Bi 0.750 0.750 0.750
Cu 0.500 0.500 0.500
F 0.000 0.000 0.000

---

No. 6
Entry from Alexandria via LeMat-Bulk: an optimized crystal structure of Cu2Bi2F (GGA-PBE).

## Properties
D(E_F) in states/eV/atom: 0.4307
Energy above the lowest structure with this stoichiometry in meV per atom: 0.0
Formation energy (no corrections) in eV per atom: -0.35
Raw total energy in eV/cell: -19.58
Space-group type: I4/mmm (139)

Cell: 3.444 3.444 8.434 Å, 78.22 78.22 90.00°
Positions (direct):
Bi 0.393 0.393 0.213
Cu 0.250 0.750 0.500
Cu 0.750 0.250 0.500
Bi 0.607 0.607 0.787
F 0.000 0.000 0.000

---

Q: Look up the formation energy (no corrections) of the fifth one.
A: -0.51 eV per atom